[1]
# Ce5ErS6 PBE optimized geometry
data_Ce5ErS6
_symmetry_space_group_name_H-M 'C 1 2/m 1'
_symmetry_Int_Tables_number 12
_cell_length_a 6.9151
_cell_length_b 11.9808
_cell_length_c 6.9137
_cell_angle_alpha 90.00
_cell_angle_beta 109.50
_cell_angle_gamma 90.00
loop_
_symmetry_equiv_pos_as_xyz
'x,y,z'
'-x,-y,-z'
'-x,y,-z'
'x,-y,z'
'x+1/2,y+1/2,z'
'-x+1/2,-y+1/2,-z'
'-x+1/2,y+1/2,-z'
'x+1/2,-y+1/2,z'
loop_
_atom_site_label
_atom_site_fract_x
_atom_site_fract_y
_atom_site_fract_z
Ce1 0.0000 0.0000 0.0000
Ce2 0.0000 0.1663 0.5000
Ce3 0.0000 0.3312 0.0000
Er1 0.0000 0.5000 0.5000
S1 0.2430 0.5000 0.2534
S2 0.2438 0.3372 0.7437
# - crystal system = monoclinic

[2]
# CeErS PBE optimized geometry
data_CeErS
_symmetry_space_group_name_H-M 'P 3 m 1'
_symmetry_Int_Tables_number 156
_cell_length_a 3.7726
_cell_length_b 3.7726
_cell_length_c 6.4961
_cell_angle_alpha 90.00
_cell_angle_beta 90.00
_cell_angle_gamma 120.00
loop_
_symmetry_equiv_pos_as_xyz
'x,y,z'
'-y,x-y,z'
'-x+y,-x,z'
'-y,-x,z'
'-x+y,y,z'
'x,x-y,z'
loop_
_atom_site_label
_atom_site_fract_x
_atom_site_fract_y
_atom_site_fract_z
Ce1 0.0000 0.0000 0.0000
Er1 0.3333 0.6667 0.4790
S1 0.6667 0.3333 0.7247
# - distance to the lowest polymorph of the same formula (eV per atom) = 0.000
# - crystal system = trigonal

[3]
# CeEr2S4 PBE optimized geometry
data_CeEr2S4
_symmetry_space_group_name_H-M 'C m c m'
_symmetry_Int_Tables_number 63
_symmetry_space_group_name_Hall '-C 2c 2'
_cell_length_a 3.8670
_cell_length_b 12.8390
_cell_length_c 13.1095
_cell_angle_alpha 90.00
_cell_angle_beta 90.00
_cell_angle_gamma 90.00
loop_
_atom_site_label
_atom_site_fract_x
_atom_site_fract_y
_atom_site_fract_z
Ce1 0.0000 0.1204 0.2500
Er1 0.0000 0.3685 0.0663
S1 0.0000 0.0000 0.0000
S2 0.0000 0.2716 0.6197
S3 0.0000 0.4581 0.2500
# - crystal system = orthorhombic

[4]
# CeErS PBE optimized geometry
data_CeErS
_symmetry_space_group_name_H-M 'P 4/n m m'
_symmetry_Int_Tables_number 129
_cell_length_a 3.9183
_cell_length_b 3.9183
_cell_length_c 8.3573
_cell_angle_alpha 90.00
_cell_angle_beta 90.00
_cell_angle_gamma 90.00
loop_
_symmetry_equiv_pos_as_xyz
'x,y,z'
'-x,-y,-z'
'-y+1/2,x,z'
'y+1/2,-x,-z'
'-x+1/2,-y+1/2,z'
'x+1/2,y+1/2,-z'
'y,-x+1/2,z'
'-y,x+1/2,-z'
'x+1/2,-y,-z'
'-x+1/2,y,z'
'-y,-x,-z'
'y,x,z'
'-x,y+1/2,-z'
'x,-y+1/2,z'
'y+1/2,x+1/2,-z'
'-y+1/2,-x+1/2,z'
loop_
_atom_site_label
_atom_site_fract_x
_atom_site_fract_y
_atom_site_fract_z
Ce1 0.2500 0.7500 0.0000
Er1 0.2500 0.2500 0.3654
S1 0.2500 0.2500 0.6997
# - distance to the lowest polymorph of the same formula (eV per atom) = 0.081
# - crystal system = tetragonal

[5]
# Ce4Er3S8 PBE optimized geometry
data_Ce4Er3S8
_symmetry_space_group_name_H-M 'C 1 2/m 1'
_symmetry_Int_Tables_number 12
_cell_length_a 11.1628
_cell_length_b 11.1706
_cell_length_c 7.8879
_cell_angle_alpha 90.00
_cell_angle_beta 134.87
_cell_angle_gamma 90.00
loop_
_symmetry_equiv_pos_as_xyz
'x,y,z'
'-x,-y,-z'
'-x,y,-z'
'x,-y,z'
'x+1/2,y+1/2,z'
'-x+1/2,-y+1/2,-z'
'-x+1/2,y+1/2,-z'
'x+1/2,-y+1/2,z'
loop_
_atom_site_label
_atom_site_fract_x
_atom_site_fract_y
_atom_site_fract_z
Ce1 0.0000 0.0000 0.0000
Ce2 0.0000 0.5000 0.5000
Ce3 0.2500 0.2500 0.0000
Er1 0.0000 0.5000 0.0000
Er2 0.2500 0.2500 0.5000
S1 0.0000 0.2458 0.5000
S2 0.0000 0.2550 0.0000
S3 0.2482 0.5000 0.0075
S4 0.2504 0.0000 0.5095
# - crystal system = monoclinic

[6]
# Ce2Er3S8 PBE optimized geometry
data_Ce2Er3S8
_symmetry_space_group_name_H-M 'P 1 2/m 1'
_symmetry_Int_Tables_number 10
_cell_length_a 7.0568
_cell_length_b 4.0307
_cell_length_c 12.9499
_cell_angle_alpha 90.00
_cell_angle_beta 102.63
_cell_angle_gamma 90.00
loop_
_symmetry_equiv_pos_as_xyz
'x,y,z'
'-x,-y,-z'
'-x,y,-z'
'x,-y,z'
loop_
_atom_site_label
_atom_site_fract_x
_atom_site_fract_y
_atom_site_fract_z
Ce1 0.2334 0.0000 0.2504
Er1 0.2565 0.5000 0.7339
Er2 0.5000 0.0000 0.0000
S1 0.1182 0.5000 0.3589
S2 0.1576 0.0000 0.8622
S3 0.3831 0.5000 0.1187
S4 0.3994 0.0000 0.6399
# - crystal system = monoclinic

[7]
# CeErS4 PBE optimized geometry
data_CeErS4
_symmetry_space_group_name_H-M 'C m m m'
_symmetry_Int_Tables_number 65
_symmetry_space_group_name_Hall '-C 2 2'
_cell_length_a 8.9256
_cell_length_b 8.9579
_cell_length_c 4.1396
_cell_angle_alpha 90.00
_cell_angle_beta 90.00
_cell_angle_gamma 90.00
loop_
_atom_site_label
_atom_site_fract_x
_atom_site_fract_y
_atom_site_fract_z
Ce1 0.0000 0.0000 0.0000
Er1 0.0000 0.5000 0.5000
S1 0.0000 0.1976 0.5000
S2 0.1971 0.5000 0.0000
# - distance to the lowest polymorph of the same formula (eV per atom) = 0.000
# - crystal system = orthorhombic

[8]
# CeEr4S6 PBE optimized geometry
data_CeEr4S6
_symmetry_space_group_name_H-M 'C m c m'
_symmetry_Int_Tables_number 63
_symmetry_space_group_name_Hall '-C 2c 2'
_cell_length_a 3.8576
_cell_length_b 12.7882
_cell_length_c 19.6308
_cell_angle_alpha 90.00
_cell_angle_beta 90.00
_cell_angle_gamma 90.00
loop_
_atom_site_label
_atom_site_fract_x
_atom_site_fract_y
_atom_site_fract_z
Ce1 0.0000 0.1552 0.2500
Er1 0.0000 0.0924 0.6264
Er2 0.0000 0.3613 0.5402
S1 0.0000 0.0000 0.0000
S2 0.0000 0.1834 0.7500
S3 0.0000 0.2681 0.0887
S4 0.0000 0.4551 0.6648
# - crystal system = orthorhombic

[9]
# CeErS3 PBE optimized geometry
data_CeErS3
_symmetry_space_group_name_H-M 'P 1 21/m 1'
_symmetry_Int_Tables_number 11
_cell_length_a 7.8079
_cell_length_b 3.9277
_cell_length_c 7.8332
_cell_angle_alpha 90.00
_cell_angle_beta 94.68
_cell_angle_gamma 90.00
loop_
_symmetry_equiv_pos_as_xyz
'x,y,z'
'-x,-y,-z'
'-x,y+1/2,-z'
'x,-y+1/2,z'
loop_
_atom_site_label
_atom_site_fract_x
_atom_site_fract_y
_atom_site_fract_z
Ce1 0.1214 0.2500 0.2687
Er1 0.3537 0.7500 0.8269
S1 0.1249 0.2500 0.8852
S2 0.1833 0.7500 0.5242
S3 0.4027 0.7500 0.1793
# - distance to the lowest polymorph of the same formula (eV per atom) = 0.022
# - crystal system = monoclinic

[10]
# CeEr6S8 PBE optimized geometry
data_CeEr6S8
_symmetry_space_group_name_H-M 'F m -3 m'
_symmetry_Int_Tables_number 225
_symmetry_space_group_name_Hall '-F 4 2 3'
_cell_length_a 10.9482
_cell_length_b 10.9482
_cell_length_c 10.9482
_cell_angle_alpha 90.00
_cell_angle_beta 90.00
_cell_angle_gamma 90.00
loop_
_atom_site_label
_atom_site_fract_x
_atom_site_fract_y
_atom_site_fract_z
Ce1 0.0000 0.0000 0.0000
Er1 0.0000 0.2500 0.2500
S1 0.0000 0.0000 0.2582
S2 0.2500 0.2500 0.2500
# - crystal system = cubic

[11]
# CeEr4S7 PBE optimized geometry
data_CeEr4S7
_symmetry_space_group_name_H-M 'C 1 m 1'
_symmetry_Int_Tables_number 8
_cell_length_a 12.9043
_cell_length_b 3.7937
_cell_length_c 11.6301
_cell_angle_alpha 90.00
_cell_angle_beta 104.47
_cell_angle_gamma 90.00
loop_
_symmetry_equiv_pos_as_xyz
'x,y,z'
'x,-y,z'
'x+1/2,y+1/2,z'
'x+1/2,-y+1/2,z'
loop_
_atom_site_label
_atom_site_fract_x
_atom_site_fract_y
_atom_site_fract_z
Ce1 0.0000 0.0000 0.0000
Er1 0.0874 0.5000 0.3937
Er2 0.1871 0.0000 0.7637
Er3 0.2743 0.5000 0.1626
Er4 0.3871 0.5000 0.5769
S1 0.0446 0.5000 0.6295
S2 0.1371 0.5000 0.9301
S3 0.1502 0.0000 0.2340
S4 0.2286 0.0000 0.5290
S5 0.3419 0.5000 0.7880
S6 0.3844 0.0000 0.0873
S7 0.4313 0.5000 0.3655
# - crystal system = monoclinic

[12]
# CeErS3 PBE optimized geometry
data_CeErS3
_symmetry_space_group_name_H-M 'P 1 21/m 1'
_symmetry_Int_Tables_number 11
_cell_length_a 10.9674
_cell_length_b 3.9362
_cell_length_c 21.5183
_cell_angle_alpha 90.00
_cell_angle_beta 101.48
_cell_angle_gamma 90.00
loop_
_symmetry_equiv_pos_as_xyz
'x,y,z'
'-x,-y,-z'
'-x,y+1/2,-z'
'x,-y+1/2,z'
loop_
_atom_site_label
_atom_site_fract_x
_atom_site_fract_y
_atom_site_fract_z
Ce1 0.0916 0.2500 0.3636
Ce2 0.2003 0.2500 0.0386
Ce3 0.3038 0.7500 0.7318
Ce4 0.3051 0.2500 0.2325
Er1 0.0323 0.2500 0.8521
Er2 0.1772 0.2500 0.5459
Er3 0.4462 0.2500 0.9174
Er4 0.4773 0.7500 0.4118
S1 0.0369 0.2500 0.2300
S2 0.0584 0.7500 0.9446
S3 0.0853 0.7500 0.4616
S4 0.1246 0.2500 0.6640
S5 0.2054 0.7500 0.1359
S6 0.2506 0.7500 0.3254
S7 0.2562 0.2500 0.8212
S8 0.3422 0.7500 0.5990
S9 0.3539 0.7500 0.9858
S10 0.3620 0.2500 0.4642
S11 0.4502 0.2500 0.1343
S12 0.4949 0.2500 0.7209
# - distance to the lowest polymorph of the same formula (eV per atom) = 0.001
# - crystal system = monoclinic

| no. | density (Mg/m³) | V (Å³/atom) | E_form (uncorrected) (meV/atom) |
| --- | --- | --- | --- |
| 1 | 6.522 | 22.497 | -2032.1 |
| 2 | 7.040 | 26.690 | -1162.3 |
| 3 | 6.153 | 23.245 | -2059.0 |
| 4 | 8.786 | 21.385 | -1081.5 |
| 5 | 6.283 | 23.236 | -1995.1 |
| 6 | 4.798 | 27.648 | -1936.2 |
| 7 | 4.371 | 27.582 | -1477.7 |
| 8 | 6.869 | 22.010 | -2023.8 |
| 9 | 5.598 | 23.942 | -2024.8 |
| 10 | 7.087 | 21.872 | -1991.3 |
| 11 | 6.227 | 22.971 | -2023.3 |
| 12 | 5.889 | 22.759 | -2045.5 |